Record 1
BaPmMg2Ge2: relaxed, PBE-GGA.

## Properties
Calculated total energy = -22.045 eV/f.u.
Size of the total moment = 0.0 μB/f.u.
Crystal system = trigonal

a = 4.7567 Å, b = 4.7567 Å, c = 8.1965 Å
α = 90.00°, β = 90.00°, γ = 120.00°
Space group P-3m1 (No. 164)
Inequivalent atoms, fractional coordinates:
Ba  0.0000  0.0000  0.0000 (multiplicity 1)
Pm  0.0000  0.0000  0.5000 (multiplicity 1)
Mg  0.3333  0.6667  0.6990 (multiplicity 2)
Ge  0.3333  0.6667  0.2882 (multiplicity 2)

---

Record 2
Ba6Rh2BrCl3: relaxed, PBE-GGA.

## Properties
Calculated total energy = -48.970 eV/f.u.
Size of the total moment = 0.0 μB/f.u.
ΔE_f (raw) = -1.29 eV/atom
Crystal system = monoclinic

a = 20.2942 Å, b = 4.5141 Å, c = 9.7587 Å
α = 90.00°, β = 104.02°, γ = 90.00°
Space group C2/m (No. 12)
Inequivalent atoms, fractional coordinates:
Ba  0.0183  0.0000  0.2674 (multiplicity 4)
Ba  0.1747  0.5000  0.5680 (multiplicity 4)
Ba  0.1762  0.5000  0.1203 (multiplicity 4)
Rh  0.1634  0.0000  0.3309 (multiplicity 4)
Br  0.0000  0.5000  0.0000 (multiplicity 2)
Cl  0.0000  0.5000  0.5000 (multiplicity 2)
Cl  0.1561  0.0000  0.8388 (multiplicity 4)

---

Record 3
HfZr2P: relaxed, PBE-GGA.

## Properties
Calculated total energy = -34.729 eV/f.u.
Size of the total moment = 0.0 μB/f.u.
Crystal system = trigonal

a = 3.4581 Å, b = 3.4581 Å, c = 24.8805 Å
α = 90.00°, β = 90.00°, γ = 120.00°
Space group R-3m (No. 166, hexagonal axes)
Inequivalent atoms, fractional coordinates:
Hf  0.0000  0.0000  0.0000 (multiplicity 3)
Zr  0.0000  0.0000  0.2321 (multiplicity 6)
P  0.0000  0.0000  0.5000 (multiplicity 3)

---

Record 4
BaPPbS2: relaxed, PBE-GGA.

## Properties
Calculated total energy = -20.837 eV/f.u.
Size of the total moment = 0.5 μB/f.u.
ΔE_f (raw) = -0.31 eV/atom
Crystal system = tetragonal

a = 5.3836 Å, b = 5.3836 Å, c = 5.2571 Å
α = 90.00°, β = 90.00°, γ = 90.00°
Space group P4/mmm (No. 123)
Inequivalent atoms, fractional coordinates:
Ba  0.0000  0.0000  0.0000 (multiplicity 1)
P  0.5000  0.5000  0.0000 (multiplicity 1)
Pb  0.5000  0.5000  0.5000 (multiplicity 1)
S  0.0000  0.5000  0.5000 (multiplicity 2)

---

Record 5
Pm5Pr2Tl: relaxed, PBE-GGA.

## Properties
Calculated total energy = -35.564 eV/f.u.
Size of the total moment = 0.0 μB/f.u.
Crystal system = orthorhombic

a = 3.5705 Å, b = 9.9780 Å, c = 15.2830 Å
α = 90.00°, β = 90.00°, γ = 90.00°
Space group Immm (No. 71)
Inequivalent atoms, fractional coordinates:
Pm  0.0000  0.0000  0.0000 (multiplicity 2)
Pm  0.0000  0.2316  0.3839 (multiplicity 8)
Pr  0.0000  0.0000  0.2228 (multiplicity 4)
Tl  0.0000  0.5000  0.0000 (multiplicity 2)

---

Record 6
Pr5PSe4: relaxed, PBE-GGA.

## Properties
Calculated total energy = -61.344 eV/f.u.
Size of the total moment = 0.0 μB/f.u.
ΔE_f (raw) = -1.81 eV/atom
Crystal system = tetragonal

a = 4.2455 Å, b = 4.2455 Å, c = 30.2297 Å
α = 90.00°, β = 90.00°, γ = 90.00°
Space group I4/mmm (No. 139)
Inequivalent atoms, fractional coordinates:
Pr  0.0000  0.0000  0.0000 (multiplicity 2)
Pr  0.0000  0.0000  0.2029 (multiplicity 4)
Pr  0.0000  0.0000  0.4056 (multiplicity 4)
P  0.0000  0.0000  0.5000 (multiplicity 2)
Se  0.0000  0.0000  0.1011 (multiplicity 4)
Se  0.0000  0.0000  0.3029 (multiplicity 4)

---

Record 7
Te2MoIrN: relaxed, PBE-GGA.

## Properties
Calculated total energy = -30.273 eV/f.u.
Size of the total moment = 0.0 μB/f.u.
ΔE_f (raw) = 0.81 eV/atom
Crystal system = tetragonal

a = 5.3124 Å, b = 5.3124 Å, c = 3.7222 Å
α = 90.00°, β = 90.00°, γ = 90.00°
Space group P4/mmm (No. 123)
Inequivalent atoms, fractional coordinates:
Te  0.0000  0.5000  0.0000 (multiplicity 2)
Mo  0.0000  0.0000  0.0000 (multiplicity 1)
Ir  0.5000  0.5000  0.5000 (multiplicity 1)
N  0.0000  0.0000  0.5000 (multiplicity 1)

---

Record 8
LiBeTlP2: relaxed, PBE-GGA.

## Properties
Calculated total energy = -17.352 eV/f.u.
Size of the total moment = 0.0 μB/f.u.
Crystal system = tetragonal

a = 4.3299 Å, b = 4.3299 Å, c = 5.1912 Å
α = 90.00°, β = 90.00°, γ = 90.00°
Space group P4/mmm (No. 123)
Inequivalent atoms, fractional coordinates:
Li  0.0000  0.0000  0.0000 (multiplicity 1)
Be  0.5000  0.5000  0.5000 (multiplicity 1)
Tl  0.5000  0.5000  0.0000 (multiplicity 1)
P  0.0000  0.5000  0.5000 (multiplicity 2)

---

no.,theoretical density (g/cm³)
1,4.92
2,4.66
3,7.58
4,4.79
5,7.39
6,6.41
7,8.81
8,4.82